Entry from the Alexandria database: Cu3SbS4 after structural relaxation (PBE).

Cell and atoms, written as POSCAR:
```
Cu3SbS4
1.0
7.6941 -3.4174 2.1062
0.8573 -8.5993 0.7946
4.5231 -4.4736 -5.9028
Cu Sb S
6 2 8
Cartesian
3.8471 -1.7087 1.0531 Cu
6.1086 -3.9455 -1.8983 Cu
0.4287 -4.2996 0.3973 Cu
4.2757 -6.0083 1.4504 Cu
2.6902 -6.5364 -2.5541 Cu
2.2616 -2.2368 -2.9514 Cu
3.2686 -4.1226 -0.7505 Sb
9.8059 -12.3677 -2.2515 Sb
5.2265 -3.8106 0.5133 S
7.8481 -12.6796 -3.5153 S
1.8226 -2.2987 -0.4185 S
11.2520 -14.1915 -2.5835 S
9.2510 -12.2124 0.0278 S
10.8727 -10.3872 -2.9351 S
2.2019 -6.1031 -0.0670 S
3.8236 -4.2778 -3.0299 S
```

Output
size of the total moment	0.000	μB/f.u.
calculated volume	462.2	Å³ per cell
SG	Fm-3m
total DFT energy (no corrections)	-3.862	eV per atom

=====

Entry from the Alexandria database: Cu3SbS after structural relaxation (PBE).

Cell and atoms, written as POSCAR:
```
Cu3SbS
1.0
4.8437 0.0000 0.0000
0.0000 4.8437 0.0000
0.0000 0.0000 4.8437
Sb S Cu
1 1 3
Cartesian
0.0000 0.0000 0.0000 Sb
2.4219 2.4219 2.4219 S
0.0000 2.4219 0.0000 Cu
0.0000 0.0000 2.4219 Cu
2.4219 0.0000 0.0000 Cu
```

Output
size of the total moment	0.005	μB/f.u.
calculated volume	113.6	Å³ per cell
offset from the most stable computed form	2.78	eV per formula unit
SG	Pm-3m